A:
The following is a GGA-PBE calculation of Pm4NiHg2 after structural relaxation, from the Alexandria database.

Results
SG: C2/m, No. 12
V: 206.2 Å³ per cell
Crystal system: monoclinic

POSCAR file:
```
Pm4NiHg2
1.0
8.439 -1.971 0.000
8.439 1.971 0.000
-2.554 0.000 6.197
Pm Ni Hg
4 1 2
Direct
0.093 0.093 0.436 Pm
0.392 0.392 0.055 Pm
0.608 0.608 0.945 Pm
0.907 0.907 0.564 Pm
0.000 0.000 0.000 Ni
0.254 0.254 0.290 Hg
0.746 0.746 0.710 Hg
```

***

B:
The following is a GGA-PBE calculation of Pm4NiHg2 after structural relaxation, from the Alexandria database.

Results
SG: I4/mmm, No. 139
V: 213.1 Å³ per cell
Crystal system: tetragonal

POSCAR file:
```
Pm4NiHg2
1.0
-2.626 2.626 7.728
2.626 -2.626 7.728
2.626 2.626 -7.728
Pm Ni Hg
4 1 2
Direct
0.000 0.500 0.500 Pm
0.182 0.182 0.000 Pm
0.500 0.000 0.500 Pm
0.818 0.818 0.000 Pm
0.000 0.000 0.000 Ni
0.377 0.377 0.000 Hg
0.623 0.623 0.000 Hg
```

***

Here is how they stack up, most stable first: A, B.

***

A:
The following is a GGA-PBE calculation of Pm8NiHg2 after structural relaxation, from the Alexandria database.

Results
SG: Cm, No. 8
V: 335.3 Å³ per cell
Crystal system: monoclinic

POSCAR file:
```
Pm8NiHg2
1.0
3.847 -8.162 0.000
3.847 8.162 0.000
-3.477 0.000 5.340
Pm Ni Hg
8 1 2
Direct
0.000 0.000 0.000 Pm
0.082 0.477 0.176 Pm
0.123 0.902 0.506 Pm
0.442 0.666 0.875 Pm
0.477 0.082 0.176 Pm
0.538 0.538 0.390 Pm
0.666 0.442 0.875 Pm
0.902 0.123 0.506 Pm
0.280 0.280 0.882 Ni
0.559 0.995 0.678 Hg
0.995 0.559 0.678 Hg
```

***

B:
The following is a GGA-PBE calculation of Pm8NiHg2 after structural relaxation, from the Alexandria database.

Results
SG: C2/m, No. 12
V: 325.8 Å³ per cell
Crystal system: monoclinic

POSCAR file:
```
Pm8NiHg2
1.0
9.089 -2.625 0.000
9.089 2.625 0.000
-1.340 0.000 6.830
Pm Ni Hg
8 1 2
Direct
0.020 0.020 0.275 Pm
0.203 0.203 0.812 Pm
0.351 0.351 0.532 Pm
0.411 0.411 0.054 Pm
0.589 0.589 0.946 Pm
0.649 0.649 0.468 Pm
0.797 0.797 0.188 Pm
0.980 0.980 0.725 Pm
0.500 0.500 0.500 Ni
0.191 0.191 0.245 Hg
0.809 0.809 0.755 Hg
```

***

Here is how they stack up, most stable first: B, A.

***

A:
The following is a GGA-PBE calculation of PmNiHg2 after structural relaxation, from the Alexandria database.

Results
SG: Cmcm, No. 63
V: 170.6 Å³ per cell
Crystal system: orthorhombic

POSCAR file:
```
PmNiHg2
1.0
2.049 -5.054 0.000
2.049 5.054 0.000
0.000 0.000 8.236
Pm Ni Hg
2 2 4
Direct
0.067 0.933 0.750 Pm
0.933 0.067 0.250 Pm
0.227 0.773 0.250 Ni
0.773 0.227 0.750 Ni
0.357 0.643 0.552 Hg
0.357 0.643 0.948 Hg
0.643 0.357 0.052 Hg
0.643 0.357 0.448 Hg
```

***

B:
The following is a GGA-PBE calculation of PmNiHg2 after structural relaxation, from the Alexandria database.

Results
SG: R-3m, No. 166
V: 90.7 Å³ per cell
Crystal system: trigonal

POSCAR file:
```
PmNiHg2
1.0
2.263 1.307 5.112
-2.263 1.307 5.112
0.000 -2.613 5.112
Pm Ni Hg
1 1 2
Direct
0.000 0.000 0.000 Pm
0.500 0.500 0.500 Ni
0.221 0.221 0.221 Hg
0.779 0.779 0.779 Hg
```

***

Here is how they stack up, most stable first: A, B.

***

A:
The following is a GGA-PBE calculation of Pm2Ni2Hg after structural relaxation, from the Alexandria database.

Results
SG: Cmmm, No. 65
V: 108.4 Å³ per cell
Crystal system: orthorhombic

POSCAR file:
```
Pm2Ni2Hg
1.0
1.988 -7.084 0.000
1.988 7.084 0.000
0.000 0.000 3.849
Pm Ni Hg
2 2 1
Direct
0.135 0.865 0.000 Pm
0.865 0.135 0.000 Pm
0.298 0.702 0.500 Ni
0.702 0.298 0.500 Ni
0.500 0.500 0.500 Hg
```

***

B:
The following is a GGA-PBE calculation of Pm2Ni2Hg after structural relaxation, from the Alexandria database.

Results
SG: P4/mbm, No. 127
V: 212.2 Å³ per cell
Crystal system: tetragonal

POSCAR file:
```
Pm2Ni2Hg
1.0
7.434 0.000 0.000
0.000 7.434 0.000
0.000 0.000 3.838
Pm Ni Hg
4 4 2
Direct
0.179 0.321 0.000 Pm
0.321 0.821 0.000 Pm
0.679 0.179 0.000 Pm
0.821 0.679 0.000 Pm
0.115 0.615 0.500 Ni
0.385 0.115 0.500 Ni
0.615 0.885 0.500 Ni
0.885 0.385 0.500 Ni
0.000 0.000 0.500 Hg
0.500 0.500 0.500 Hg
```

***

Here is how they stack up, most stable first: A, B.

***

A:
The following is a GGA-PBE calculation of Pr6NiHg2 after structural relaxation, from the Alexandria database.

Results
SG: P2_1/c, No. 14
V: 565.9 Å³ per cell
Crystal system: monoclinic

POSCAR file:
```
Pr6NiHg2
1.0
6.615 0.000 0.000
0.000 7.934 0.000
-5.911 0.000 10.781
Pr Ni Hg
12 2 4
Direct
0.125 0.203 0.457 Pr
0.125 0.297 0.957 Pr
0.292 0.667 0.454 Pr
0.292 0.833 0.954 Pr
0.372 0.021 0.251 Pr
0.372 0.479 0.751 Pr
0.628 0.521 0.249 Pr
0.628 0.979 0.749 Pr
0.708 0.167 0.046 Pr
0.708 0.333 0.546 Pr
0.875 0.703 0.043 Pr
0.875 0.797 0.543 Pr
0.500 0.000 0.500 Ni
0.500 0.500 0.000 Ni
0.151 0.104 0.733 Hg
0.151 0.396 0.233 Hg
0.849 0.604 0.767 Hg
0.849 0.896 0.267 Hg
```

***

B:
The following is a GGA-PBE calculation of Pr6NiHg2 after structural relaxation, from the Alexandria database.

Results
SG: P-62m, No. 189
V: 266.1 Å³ per cell
Crystal system: hexagonal

POSCAR file:
```
Pr6NiHg2
1.0
8.976 0.000 0.000
-4.488 7.773 0.000
0.000 0.000 3.813
Pr Ni Hg
6 1 2
Direct
0.000 0.407 0.000 Pr
0.000 0.763 0.500 Pr
0.237 0.237 0.500 Pr
0.407 0.000 0.000 Pr
0.593 0.593 0.000 Pr
0.763 0.000 0.500 Pr
0.000 0.000 0.000 Ni
0.333 0.667 0.500 Hg
0.667 0.333 0.500 Hg
```

***

Here is how they stack up, most stable first: B, A.

***

A:
The following is a GGA-PBE calculation of Pr4NiHg after structural relaxation, from the Alexandria database.

Results
SG: F-43m, No. 216
V: 690.2 Å³ per cell
Crystal system: cubic

POSCAR file:
```
Pr4NiHg
1.0
0.000 7.014 7.014
7.014 0.000 7.014
7.014 7.014 0.000
Pr Ni Hg
16 4 4
Direct
0.188 0.188 0.812 Pr
0.188 0.812 0.188 Pr
0.188 0.812 0.812 Pr
0.401 0.401 0.401 Pr
0.401 0.401 0.798 Pr
0.401 0.798 0.401 Pr
0.558 0.558 0.942 Pr
0.558 0.942 0.558 Pr
0.558 0.942 0.942 Pr
0.798 0.401 0.401 Pr
0.812 0.188 0.188 Pr
0.812 0.188 0.812 Pr
0.812 0.812 0.188 Pr
0.942 0.558 0.558 Pr
0.942 0.558 0.942 Pr
0.942 0.942 0.558 Pr
0.179 0.607 0.607 Ni
0.607 0.179 0.607 Ni
0.607 0.607 0.179 Ni
0.607 0.607 0.607 Ni
0.167 0.167 0.167 Hg
0.167 0.167 0.500 Hg
0.167 0.500 0.167 Hg
0.500 0.167 0.167 Hg
```

***

B:
The following is a GGA-PBE calculation of Pr4NiHg after structural relaxation, from the Alexandria database.

Results
SG: P2_1/c, No. 14
V: 388.6 Å³ per cell
Crystal system: monoclinic

POSCAR file:
```
Pr4NiHg
1.0
7.183 0.000 0.000
0.000 7.547 0.000
-0.756 0.000 7.168
Pr Ni Hg
8 2 2
Direct
0.150 0.169 0.191 Pr
0.150 0.331 0.691 Pr
0.324 0.647 0.108 Pr
0.324 0.853 0.608 Pr
0.676 0.147 0.392 Pr
0.676 0.353 0.892 Pr
0.850 0.669 0.309 Pr
0.850 0.831 0.809 Pr
0.000 0.000 0.500 Ni
0.000 0.500 0.000 Ni
0.500 0.000 0.000 Hg
0.500 0.500 0.500 Hg
```

***

Here is how they stack up, most stable first: A, B.